<A>
VASP calculation (PBE) on KNbTl2 after structural relaxation.

Cell: 6.0561 6.0561 9.8946 Å, 72.18 72.18 90.00°
With the nearest neighbours (Å) after each atom.
Sites, in units of the cell vectors:
1 Nb 0.7500 0.2500 0.5000  4 Tl 2.78
2 Nb 0.0000 0.0000 0.0000  4 Tl 2.78
3 Tl 0.9878 0.6250 0.2500  2 Nb 2.78
4 Tl 0.7622 0.1250 0.2500  2 Nb 2.78
5 K 0.5000 0.5000 0.0000  4 Tl 3.57
6 Tl 0.3750 0.2378 0.7500  2 Nb 2.78
7 Tl 0.8750 0.0122 0.7500  2 Nb 2.78
8 K 0.2500 0.7500 0.5000  4 Tl 3.57

- Symmetry: I-42d (122)
- Size of the total moment: 0.0000 μB per atom

---

<B>
VASP calculation (PBE) on KNbTl2 after structural relaxation.

Cell: 5.3374 5.3374 5.3374 Å, 60.00 60.00 60.00°
With the nearest neighbours (Å) after each atom.
Sites, in units of the cell vectors:
1 Tl 0.7500 0.7500 0.7500  4 Nb 3.27, 4 K 3.27
2 Tl 0.2500 0.2500 0.2500  4 Nb 3.27, 4 K 3.27
3 Nb 0.5000 0.5000 0.5000  8 Tl 3.27
4 K 0.0000 0.0000 0.0000  8 Tl 3.27

- Symmetry: Fm-3m (225)
- Size of the total moment: 0.5578 μB per atom

---

What should be chosen as the most stable of them? Choose <B>.

---

<A>
VASP calculation (PBE) on K2NbTl after structural relaxation.

Cell: 5.9510 5.9510 5.9510 Å, 60.00 60.00 60.00°
With the nearest neighbours (Å) after each atom.
Sites, in units of the cell vectors:
1 Tl 0.5000 0.5000 0.5000  8 K 3.64
2 K 0.7500 0.7500 0.7500  4 Tl 3.64, 4 Nb 3.64
3 Nb 0.0000 0.0000 0.0000  8 K 3.64
4 K 0.2500 0.2500 0.2500  4 Tl 3.64, 4 Nb 3.64

- Symmetry: Fm-3m (225)
- Size of the total moment: 1.0743 μB per atom

---

<B>
VASP calculation (PBE) on K2NbTl after structural relaxation.

Cell: 9.7738 9.7738 7.5678 Å, 49.78 49.78 90.00°
With the nearest neighbours (Å) after each atom.
Sites, in units of the cell vectors:
1 Nb 0.5000 0.5000 0.0000  2 Tl 3.08
2 Tl 0.7500 0.2500 0.5000  2 Nb 3.08
3 K 0.1136 0.6250 0.2500  2 K 3.09
4 Tl 0.0000 0.0000 0.0000  2 Nb 3.08
5 Nb 0.2500 0.7500 0.5000  2 Tl 3.08
6 K 0.8750 0.8864 0.7500  2 K 3.09
7 K 0.6364 0.1250 0.2500  2 K 3.09
8 K 0.3750 0.3636 0.7500  2 K 3.09

- Symmetry: I-42d (122)
- Size of the total moment: 1.0066 μB per atom

---

What should be chosen as the most stable of them? Choose <B>.

---

<A>
VASP calculation (PBE) on K2NbW after structural relaxation.

Cell: 12.9500 12.9500 9.4480 Å, 46.74 46.74 90.00°
With the nearest neighbours (Å) after each atom.
Sites, in units of the cell vectors:
1 W 0.0000 0.0000 0.0000  2 Nb 2.33
2 K 0.9608 0.6250 0.2500  2 W 3.47, 2 Nb 3.84
3 K 0.7892 0.1250 0.2500  2 W 3.47, 2 Nb 3.84
4 W 0.7500 0.2500 0.5000  2 Nb 2.33
5 K 0.8750 0.0392 0.7500  2 W 3.47, 2 Nb 3.84
6 Nb 0.5000 0.5000 0.0000  2 W 2.33
7 Nb 0.2500 0.7500 0.5000  2 W 2.33
8 K 0.3750 0.2108 0.7500  2 W 3.47, 2 Nb 3.84

- Symmetry: I-42d (122)
- Size of the total moment: 0.1131 μB per atom

---

<B>
VASP calculation (PBE) on K2NbW after structural relaxation.

Cell: 5.4409 5.4409 5.4409 Å, 60.00 60.00 60.00°
With the nearest neighbours (Å) after each atom.
Sites, in units of the cell vectors:
1 K 0.7500 0.7500 0.7500  4 W 3.33, 4 Nb 3.33
2 K 0.2500 0.2500 0.2500  4 W 3.33, 4 Nb 3.33
3 W 0.5000 0.5000 0.5000  8 K 3.33
4 Nb 0.0000 0.0000 0.0000  8 K 3.33

- Symmetry: Fm-3m (225)
- Size of the total moment: 1.0849 μB per atom

---

What should be chosen as the most stable of them? Choose <A>.

---

<A>
VASP calculation (PBE) on KY3Nb after structural relaxation.

Cell: 5.6776 5.6776 5.6776 Å, 90.00 90.00 90.00°
With the nearest neighbours (Å) after each atom.
Sites, in units of the cell vectors:
1 Y 0.0000 0.5000 0.0000  2 Nb 2.84
2 Nb 0.0000 0.0000 0.0000  6 Y 2.84
3 Y 0.0000 0.0000 0.5000  2 Nb 2.84
4 Y 0.5000 0.0000 0.0000  2 Nb 2.84
5 K 0.5000 0.5000 0.5000  12 Y 4.01

- Symmetry: Pm-3m (221)
- Size of the total moment: 0.0000 μB per atom

---

<B>
VASP calculation (PBE) on KY3Nb after structural relaxation.

Cell: 5.2888 5.2888 5.2888 Å, 90.00 90.00 90.00°
With the nearest neighbours (Å) after each atom.
Sites, in units of the cell vectors:
1 Nb 0.5000 0.5000 0.5000  12 Y 3.74
2 Y 0.0000 0.5000 0.0000  2 K 2.64
3 K 0.0000 0.0000 0.0000  6 Y 2.64
4 Y 0.0000 0.0000 0.5000  2 K 2.64
5 Y 0.5000 0.0000 0.0000  2 K 2.64

- Symmetry: Pm-3m (221)
- Size of the total moment: 0.5971 μB per atom

---

What should be chosen as the most stable of them? Choose <A>.

---

<A>
VASP calculation (PBE) on K2YNb after structural relaxation.

Cell: 10.1212 10.1212 7.7751 Å, 49.39 49.39 90.00°
With the nearest neighbours (Å) after each atom.
Sites, in units of the cell vectors:
1 Nb 0.0000 0.0000 0.0000  2 Y 3.04
2 K 0.6588 0.1250 0.2500  2 K 3.11, 2 Nb 3.43
3 Nb 0.7500 0.2500 0.5000  2 Y 3.04
4 Y 0.5000 0.5000 0.0000  2 Nb 3.04
5 K 0.3750 0.3412 0.7500  2 K 3.11, 2 Nb 3.43
6 K 0.0912 0.6250 0.2500  2 K 3.11, 2 Nb 3.43
7 Y 0.2500 0.7500 0.5000  2 Nb 3.04
8 K 0.8750 0.9088 0.7500  2 K 3.11, 2 Nb 3.43

- Symmetry: I-42d (122)
- Size of the total moment: 0.7238 μB per atom

---

<B>
VASP calculation (PBE) on K2YNb after structural relaxation.

Cell: 5.9822 5.9822 5.9822 Å, 60.00 60.00 60.00°
With the nearest neighbours (Å) after each atom.
Sites, in units of the cell vectors:
1 K 0.7500 0.7500 0.7500  4 Y 3.66, 4 Nb 3.66
2 K 0.2500 0.2500 0.2500  4 Nb 3.66, 4 Y 3.66
3 Y 0.0000 0.0000 0.0000  8 K 3.66
4 Nb 0.5000 0.5000 0.5000  8 K 3.66

- Symmetry: Fm-3m (225)
- Size of the total moment: 0.9717 μB per atom

---

What should be chosen as the most stable of them? Choose <A>.

---

<A>
VASP calculation (PBE) on KNbZn after structural relaxation.

Cell: 4.3824 4.3824 11.6409 Å, 90.00 90.00 120.00°
With the nearest neighbours (Å) after each atom.
Sites, in units of the cell vectors:
1 Zn 0.3333 0.6667 0.2500  3 Nb 2.53
2 Nb 0.6667 0.3333 0.2500  3 Zn 2.53
3 K 0.0000 0.0000 0.0000  6 Nb 3.86, 6 Zn 3.86
4 Nb 0.3333 0.6667 0.7500  3 Zn 2.53
5 K 0.0000 0.0000 0.5000  6 Nb 3.86, 6 Zn 3.86
6 Zn 0.6667 0.3333 0.7500  3 Nb 2.53

- Symmetry: P6_3/mmc (194)
- Size of the total moment: 0.4964 μB per atom

---

<B>
VASP calculation (PBE) on KNbZn after structural relaxation.

Cell: 4.4818 11.7989 4.4818 Å, 90.22 119.99 100.74°
With the nearest neighbours (Å) after each atom.
Sites, in units of the cell vectors:
1 Nb 0.6904 0.6858 0.0114  3 Nb 2.59, 6 Zn 2.89
2 K 0.4810 0.3690 0.9036  3 Zn 3.50, 1 Nb 3.65
3 K 0.9001 0.0028 0.1198  3 Zn 3.50, 1 Nb 3.65
4 Zn 0.9494 0.5734 0.6398  1 Zn 2.59, 6 Nb 2.89
5 Nb 0.3571 0.6858 0.3448  3 Nb 2.59, 6 Zn 2.89
6 Zn 0.0982 0.7983 0.7164  1 Zn 2.59, 6 Nb 2.89

- Symmetry: Cm (8)
- Size of the total moment: 0.0000 μB per atom

---

<C>
VASP calculation (PBE) on KNbZn after structural relaxation.

Cell: 5.0277 4.7329 7.2749 Å, 90.00 90.20 90.00°
With the nearest neighbours (Å) after each atom.
Sites, in units of the cell vectors:
1 Nb 0.3639 0.0000 0.4840  2 Nb 2.51-2.53, 4 Zn 2.78
2 Zn 0.1113 0.5000 0.3851  2 Zn 2.50-2.52, 2 Nb 2.78
3 Zn 0.6131 0.5000 0.3820  2 Zn 2.50-2.52, 2 Nb 2.78
4 Nb 0.8615 0.0000 0.5046  2 Nb 2.51-2.53
5 K 0.3757 0.5000 0.8501  2 Nb 3.56, 2 Zn 3.61-3.63, 4 K 3.72
6 K 0.8770 0.0000 0.0410  1 Nb 3.37, 4 Zn 3.64-3.68, 4 K 3.72

- Symmetry: Pm (6)
- Size of the total moment: 0.0000 μB per atom

---

<D>
VASP calculation (PBE) on KNbZn after structural relaxation.

Cell: 5.5680 5.5680 10.7940 Å, 90.00 90.00 120.00°
With the nearest neighbours (Å) after each atom.
Sites, in units of the cell vectors:
1 Nb 0.0000 0.0000 0.5000  2 Zn 2.70
2 K 0.3333 0.6667 0.2500  3 Zn 3.21
3 Zn 0.0000 0.0000 0.2500  2 Nb 2.70
4 Nb 0.0000 0.0000 0.0000  2 Zn 2.70
5 K 0.6667 0.3333 0.7500  3 Zn 3.21
6 Zn 0.0000 0.0000 0.7500  2 Nb 2.70

- Symmetry: P6_3/mmc (194)
- Size of the total moment: 1.6112 μB per atom

---

What should be chosen as the most stable of them? Choose <B>.